{
  "formula": "CeDy7Ho12",
  "functional": "GGA-PBE",
  "state": "optimized geometry",
  "crystal_system": "trigonal",
  "dft_energy_ha_per_atom": -0.1617,
  "cell": [[6.1255, 3.5366, 4.9303], [-6.1255, 3.5366, 4.9303], [0.0000, -7.0732, 4.9303]],
  "species": ["Ce", "Dy", "Dy", "Dy", "Dy", "Dy", "Dy", "Dy", "Ho", "Ho", "Ho", "Ho", "Ho", "Ho", "Ho", "Ho", "Ho", "Ho", "Ho", "Ho"],
  "frac_coords": [[0.0000, 0.0000, 0.0000], [0.0321, 0.3269, 0.9388], [0.0612, 0.9679, 0.6731], [0.3269, 0.9388, 0.0321], [0.5000, 0.5000, 0.5000], [0.6731, 0.0612, 0.9679], [0.9388, 0.0321, 0.3269], [0.9679, 0.6731, 0.0612], [0.1252, 0.3509, 0.4562], [0.2245, 0.7668, 0.3728], [0.2332, 0.6272, 0.7755], [0.3509, 0.4562, 0.1252], [0.3728, 0.2245, 0.7668], [0.4562, 0.1252, 0.3509], [0.5438, 0.8748, 0.6491], [0.6272, 0.7755, 0.2332], [0.6491, 0.5438, 0.8748], [0.7668, 0.3728, 0.2245], [0.7755, 0.2332, 0.6272], [0.8748, 0.6491, 0.5438]]
}